Entry 1:
The following is a PBE-GGA calculation of crystalline Mg6Zn6Hg at its relaxed geometry, from Alexandria.

Lattice parameters (Å, degrees): 5.3473 7.3183 7.3183 86.53 68.57 68.57
Closest atoms and distances in Å follow each position.
Fractional coordinates of all 13 atoms:
Hg  0.0000  0.0000  0.0000  6 Mg 3.09-3.10
Zn  0.0000  0.5000  0.0000  4 Zn 2.66-2.67, 6 Mg 2.84-2.95
Mg  0.0000  0.3484  0.6516  6 Zn 2.84, 1 Mg 3.04
Zn  0.5000  0.7471  0.2529  4 Zn 2.66, 6 Mg 2.84-2.98
Zn  0.5000  0.2529  0.7471  4 Zn 2.66, 6 Mg 2.84-2.98
Zn  0.5000  0.5000  0.0000  4 Zn 2.66-2.67, 6 Mg 2.84-2.95
Mg  0.3305  0.1695  0.1695  6 Zn 2.94-2.98, 3 Mg 3.08-3.13, 2 Hg 3.10
Mg  0.6646  0.3354  0.3354  6 Zn 2.91-2.95, 3 Mg 3.03-3.08, 1 Hg 3.09
Zn  0.5000  0.0000  0.5000  4 Zn 2.66-2.67, 6 Mg 2.84-2.95
Mg  0.6695  0.8305  0.8305  6 Zn 2.94-2.98, 3 Mg 3.08-3.13, 2 Hg 3.10
Zn  0.0000  0.0000  0.5000  4 Zn 2.66-2.67, 6 Mg 2.84-2.95
Mg  0.0000  0.6516  0.3484  6 Zn 2.84, 1 Mg 3.04
Mg  0.3354  0.6646  0.6646  6 Zn 2.91-2.95, 3 Mg 3.03-3.08, 1 Hg 3.09

Volume ... 247.3 Å³ per cell
Energy ... -1.41 eV per atom
M_tot ... 0.00 Bohr magnetons per cell
Symmetry ... Immm (71)
Formation energy from the elements ... -5.68 kJ/mol of atoms



Entry 2:
The following is a PBE-GGA calculation of crystalline Mg2Zn2Hg at its relaxed geometry, from Alexandria.

Lattice parameters (Å, degrees): 5.2265 5.3217 5.0204 103.87 121.46 62.63
Closest atoms and distances in Å follow each position.
Fractional coordinates of all 5 atoms:
Zn  0.2450  0.3002  0.4904  2 Zn 2.75, 4 Mg 2.86-2.92
Mg  0.3838  0.7989  0.7666  5 Zn 2.88-2.97, 3 Hg 2.93-2.94
Zn  0.7199  0.8002  0.4399  2 Zn 2.75, 3 Hg 2.75-3.03, 5 Mg 2.82-2.97
Hg  0.0414  0.8006  0.0829  3 Zn 2.75-3.03, 5 Mg 2.80-2.94
Mg  0.6101  0.3000  0.2202  2 Hg 2.80-2.81, 5 Zn 2.82-3.13

Excess energy over the best structure of this formula in the dataset ... 90 meV/atom
Volume ... 105.8 Å³ per cell
Energy ... -1.20 eV per atom
M_tot ... 0.00 Bohr magnetons per cell
Symmetry ... P1 (1)
Formation energy from the elements ... 0.74 kJ/mol of atoms



Entry 3:
The following is a PBE-GGA calculation of crystalline MgZnHg2 at its relaxed geometry, from Alexandria.

Lattice parameters (Å, degrees): 4.4330 4.4330 9.9954 77.19 77.19 90.00
Closest atoms and distances in Å follow each position.
Fractional coordinates of all 8 atoms:
Hg  0.6312  0.1250  0.2500  2 Zn 2.83, 2 Mg 2.85, 2 Hg 3.10
Hg  0.3750  0.3688  0.7500  2 Zn 2.83, 2 Mg 2.85, 2 Hg 3.10
Zn  0.7500  0.2500  0.5000  4 Hg 2.83, 4 Mg 3.13
Mg  0.5000  0.5000  0.0000  4 Hg 2.85, 4 Zn 3.13
Mg  0.2500  0.7500  0.5000  4 Hg 2.85, 4 Zn 3.13
Hg  0.8750  0.8812  0.7500  2 Zn 2.83, 2 Mg 2.85, 2 Hg 3.10
Zn  0.0000  0.0000  0.0000  4 Hg 2.83, 4 Mg 3.13
Hg  0.1188  0.6250  0.2500  2 Zn 2.83, 2 Mg 2.85, 2 Hg 3.10

Volume ... 186.5 Å³ per cell
Energy ... -0.84 eV per atom
M_tot ... 0.00 Bohr magnetons per cell
Symmetry ... I-42d (122)
Formation energy from the elements ... 2.96 kJ/mol of atoms



Entry 4:
The following is a PBE-GGA calculation of crystalline Mg2ZnHg2 at its relaxed geometry, from Alexandria.

Lattice parameters (Å, degrees): 7.6891 7.6891 3.7520 90.00 90.00 90.00
Closest atoms and distances in Å follow each position.
Fractional coordinates of all 10 atoms:
Zn  0.5000  0.5000  0.0000  4 Mg 2.94
Mg  0.6472  0.1472  0.0000  6 Hg 2.85-2.99, 2 Zn 2.94
Mg  0.1472  0.3528  0.0000  6 Hg 2.85-2.99, 2 Zn 2.94
Hg  0.3439  0.1561  0.5000  6 Mg 2.85-2.99
Zn  0.0000  0.0000  0.0000  4 Mg 2.94
Mg  0.3528  0.8528  0.0000  6 Hg 2.85-2.99, 2 Zn 2.94
Hg  0.8439  0.3439  0.5000  6 Mg 2.85-2.99
Hg  0.6561  0.8439  0.5000  6 Mg 2.85-2.99
Mg  0.8528  0.6472  0.0000  6 Hg 2.85-2.99, 2 Zn 2.94
Hg  0.1561  0.6561  0.5000  6 Mg 2.85-2.99

Excess energy over the best structure of this formula in the dataset ... 65 meV/atom
Volume ... 221.8 Å³ per cell
Energy ... -1.05 eV per atom
M_tot ... 0.00 Bohr magnetons per cell
Symmetry ... P4/mbm (127)
Formation energy from the elements ... -3.42 kJ/mol of atoms